VASP calculation (SCAN) on a PBEsol-optimized structure of Fe5Rh.

extended XYZ file:
```
6
Lattice="2.5146 -0.0021 0.0008 0.8438 4.6423 0.0008 0.8404 1.1560 6.0019" Properties=species:S:1:pos:R:3 pbc="T T T"
Fe 3.3390 4.6146 3.9667
Fe 2.4999 3.4570 2.0260
Fe 1.6792 2.3201 0.0008
Fe 1.6988 2.3392 3.9775
Fe 0.8598 1.1816 2.0368
Rh 0.0000 0.0000 0.0000
```

Output
Its calculated formation energy is -8.85 kJ/mol of atoms. The relative energy among the computed polymorphs comes out at 48 meV/atom.

VASP calculation (SCAN) on a PBEsol-optimized structure of FeRh3.

extended XYZ file:
```
4
Lattice="2.6535 0.0000 0.0000 0.0000 3.6835 0.0000 0.0000 0.0000 5.3044" Properties=species:S:1:pos:R:3 pbc="T T T"
Rh 1.3267 1.8418 4.0037
Rh 0.0000 0.0000 2.6522
Rh 1.3267 1.8418 1.3006
Fe 0.0000 0.0000 0.0000
```

Output
Its calculated formation energy is -6.97 kJ/mol of atoms.

VASP calculation (SCAN) on a PBEsol-optimized structure of FeRh2.

extended XYZ file:
```
6
Lattice="3.6696 0.0000 0.0000 0.0000 3.7433 0.0000 0.0000 1.8716 5.6163" Properties=species:S:1:pos:R:3 pbc="T T T"
Fe 0.0000 1.8716 3.7461
Fe 0.0000 3.7433 1.8703
Rh 1.8348 0.0000 0.0000
Rh 1.8348 3.7433 3.7307
Rh 0.0000 1.8716 0.0000
Rh 1.8348 1.8716 1.8856
```

Output
Its calculated formation energy is -12.22 kJ/mol of atoms.